LaMgRu after structural relaxation. Source: the Alexandria database, functional PBE.

Properties
- Uncorrected energy: -15.5 eV/f.u.
- Mass density: 5.78 Mg/m³
- Crystal system: trigonal
- DFT formation energy: 0.1031 eV per atom

Lattice parameters (Å, degrees): 4.129 4.129 5.141 90.00 90.00 120.00
Sites, in units of the cell vectors:
La (0.000, 0.000, 0.922)
Mg (0.667, 0.333, 0.427)
Ru (0.333, 0.667, 0.651)